Entry from Alexandria: a relaxed structure of PmErMo2O8 (GGA+U).

a b c (Å): 5.283 5.283 6.721
angles (deg): 113.15 113.15 90.00
Last column: magnetic moment on the atom in μB.
Atoms (fractional coordinates):
O 0.989 0.429 0.323  0.00
O 0.571 0.666 0.677  0.00
O 0.779 0.853 0.180  0.02
O 0.334 0.894 0.323  0.00
O 0.674 0.221 0.820  0.02
O 0.400 0.326 0.180  0.02
O 0.147 0.600 0.820  0.02
O 0.106 0.011 0.677  0.00
Er 0.000 0.000 0.000  0.03
Pm 0.750 0.250 0.500  0.02
Mo 0.500 0.500 0.000  1.80
Mo 0.250 0.750 0.500  0.05

Summary:
E_tot in eV per atom: -7.7090